1.
VASP calculation (GGA-PBE) on a geometry-optimized Dy4CdAg structure.

excess energy over the best structure of this formula in the dataset: 0 kJ/mol of formula units
energy relative to the elements: -0.183 eV per atom
final energy: -3.879 eV per atom
D(E_F): 7.32 states/eV per cell

Unit cell a=3.5964 b=3.5964 c=12.7674 alpha=90.00 beta=90.00 gamma=90.00
Fractional positions:
Dy  0.0000  0.0000  0.1452
Dy  0.0000  0.0000  0.8548
Dy  0.5000  0.5000  0.3391
Dy  0.5000  0.5000  0.6609
Cd  0.0000  0.0000  0.5000
Ag  0.5000  0.5000  0.0000

***

2.
VASP calculation (GGA-PBE) on a geometry-optimized PuSbPt4 structure.

final energy: -7.633 eV per atom
ΔE_f (raw): -0.530 eV per atom
D(E_F): 14.22 states/eV per cell

Unit cell a=5.4300 b=5.4300 c=5.4300 alpha=60.00 beta=60.00 gamma=60.00
Fractional positions:
Pu  0.0000  0.0000  0.0000
Sb  0.7500  0.7500  0.7500
Pt  0.3748  0.3748  0.3748
Pt  0.3748  0.3748  0.8757
Pt  0.3748  0.8757  0.3748
Pt  0.8757  0.3748  0.3748

***

3.
VASP calculation (GGA-PBE) on a geometry-optimized TbNd3Sb3 structure.

excess energy over the best structure of this formula in the dataset: 67 kJ/mol of formula units
final energy: -5.418 eV per atom
ΔE_f (raw): -0.947 eV per atom
D(E_F): 9.01 states/eV per cell

Unit cell a=8.2525 b=8.2525 c=8.2525 alpha=67.83 beta=67.83 gamma=67.83
Fractional positions:
Tb  0.1671  0.1671  0.1671
Tb  0.8329  0.8329  0.8329
Nd  0.1512  0.4075  0.6796
Nd  0.3204  0.8488  0.5925
Nd  0.4075  0.6796  0.1512
Nd  0.5925  0.3204  0.8488
Nd  0.6796  0.1512  0.4075
Nd  0.8488  0.5925  0.3204
Sb  0.0324  0.8056  0.4267
Sb  0.1944  0.5733  0.9676
Sb  0.4267  0.0324  0.8056
Sb  0.5733  0.9676  0.1944
Sb  0.8056  0.4267  0.0324
Sb  0.9676  0.1944  0.5733

***

4.
VASP calculation (GGA-PBE) on a geometry-optimized PaCdCuO6 structure.

final energy: -6.388 eV per atom
ΔE_f (raw): -1.470 eV per atom
D(E_F): 6.67 states/eV per cell

Unit cell a=5.3355 b=5.3355 c=4.6803 alpha=90.00 beta=90.00 gamma=120.00
Fractional positions:
Pa  0.0000  0.0000  0.0000
Cd  0.3333  0.6667  0.5000
Cu  0.6667  0.3333  0.5000
O  0.3541  0.0429  0.7385
O  0.3541  0.3111  0.2615
O  0.6889  0.0429  0.2615
O  0.6889  0.6459  0.7385
O  0.9571  0.3111  0.7385
O  0.9571  0.6459  0.2615

***

5.
VASP calculation (GGA-PBE) on a geometry-optimized FeHg2Rh structure.

excess energy over the best structure of this formula in the dataset: 58 kJ/mol of formula units
energy relative to the elements: 0.325 eV per atom
final energy: -3.779 eV per atom
D(E_F): 4.42 states/eV per cell

Unit cell a=4.1783 b=4.1783 c=3.9320 alpha=90.00 beta=90.00 gamma=90.00
Fractional positions:
Fe  0.0000  0.0000  0.0000
Hg  0.0000  0.5000  0.5000
Hg  0.5000  0.0000  0.5000
Rh  0.5000  0.5000  0.0000

***

6.
VASP calculation (GGA-PBE) on a geometry-optimized La4Pm5Cd2 structure.

energy relative to the elements: -0.016 eV per atom
final energy: -4.133 eV per atom
D(E_F): 15.65 states/eV per cell

Unit cell a=8.8510 b=3.5815 c=11.6134 alpha=90.00 beta=94.46 gamma=90.00
Fractional positions:
La  0.1443  0.0000  0.3783
La  0.2733  0.0000  0.9538
La  0.7267  0.0000  0.0462
La  0.8557  0.0000  0.6217
Pm  0.2040  0.5000  0.6679
Pm  0.4329  0.5000  0.2054
Pm  0.5000  0.5000  0.5000
Pm  0.5671  0.5000  0.7946
Pm  0.7960  0.5000  0.3321
Cd  0.0535  0.5000  0.1310
Cd  0.9465  0.5000  0.8690